Arrangement A

DFT (PBE) results for a relaxed structure of CsSe3I.

Unit cell a=5.588 b=5.588 c=5.588 alpha=90.00 beta=90.00 gamma=90.00
Atoms (fractional coordinates):
Se 0.500 0.000 0.000
Se 0.000 0.500 0.000
Cs 0.500 0.500 0.500
I 0.000 0.000 0.000
Se 0.000 0.000 0.500

**Space-group type**: Pm-3m
**Density**: 4.73 g/cm³

***

Arrangement B

DFT (PBE) results for a relaxed structure of CsSe3I.

Unit cell a=6.075 b=6.075 c=6.075 alpha=90.00 beta=90.00 gamma=90.00
Last column: magnetic moment on the atom in μB.
Atoms (fractional coordinates):
Cs 0.000 0.000 0.000  0.07
Se 0.000 0.500 0.000  0.71
Se 0.000 0.000 0.500  0.92
Se 0.500 0.000 0.000  0.68
I 0.500 0.500 0.500  0.59

**Space-group type**: Pm-3m
**Density**: 3.68 g/cm³

***

It comes down to arrangement A, which is 1024 meV/atom more stable than the next structure.